The following is a DFT calculation (GGA-PBE) of a geometry-optimized LaYTmCu structure.

```
LaYTmCu
1.0
3.517 0.000 0.000
0.000 3.517 0.000
0.000 0.000 8.847
La Y Tm Cu
1 1 1 1
direct
0.000 0.000 0.000
0.500 0.500 0.683
0.500 0.500 0.309
0.000 0.000 0.488
```

Results
The calculated formation energy is -0.10 eV per atom. The value obtained for the total magnetic moment is 0.00 μB/f.u.